[1]
This record from the Alexandria database describes an optimized crystal structure of Cs2TlSiAs2. The functional is PBE.

Cell lengths 6.4409, 9.1636, 9.5114 Å; angles 118.80, 109.79, 90.00 degrees
Sites, in units of the cell vectors:
Cs: 0.6749 0.8876 0.3498
Cs: 0.1749 0.4623 0.3498
Cs: 0.3251 0.1124 0.6502
Cs: 0.8251 0.5377 0.6502
As: 0.5747 0.4214 0.1494
As: 0.0747 0.7280 0.1494
As: 0.4253 0.5786 0.8506
As: 0.9253 0.2720 0.8506
Tl: 0.2500 0.0000 0.0000
Tl: 0.7500 0.0000 0.0000
Si: 0.2500 0.5000 0.0000
Si: 0.7500 0.5000 0.0000

Computed properties:
Energy relative to the elements, uncorrected ... -0.27 eV/atom
Space group ... Ibam


[2]
This record from the Alexandria database describes an optimized crystal structure of CsSmAs. The functional is PBE.

Cell lengths 4.8986, 4.8986, 14.1666 Å; angles 80.04, 80.04, 60.00 degrees
Sites, in units of the cell vectors:
As: 0.6220 0.6220 0.1339
As: 0.3780 0.3780 0.8661
Cs: 0.8908 0.8908 0.3277
Cs: 0.1092 0.1092 0.6723
Sm: 0.6953 0.6953 0.9141
Sm: 0.3047 0.3047 0.0859

Computed properties:
Formation energy from the elements ... -0.733 eV per atom
Space group ... R-3m


[3]
This record from the Alexandria database describes an optimized crystal structure of Cs2SnAs2. The functional is PBE.

Cell lengths 9.1434, 9.1434, 9.1434 Å; angles 134.47, 128.88, 70.84 degrees
Sites, in units of the cell vectors:
Cs: 0.3091 0.6453 0.6638
Cs: 0.9814 0.1453 0.8362
Cs: 0.6909 0.3547 0.3362
Cs: 0.0186 0.8547 0.1638
As: 0.4262 0.0992 0.3270
As: 0.2278 0.4008 0.8270
As: 0.5738 0.9008 0.6730
As: 0.7722 0.5992 0.1730
Sn: 0.5000 0.7500 0.2500
Sn: 0.5000 0.2500 0.7500

Computed properties:
Formation energy from the elements ... -0.455 eV per atom
Space group ... Ibam


[4]
This record from the Alexandria database describes an optimized crystal structure of Cs2SnAs2. The functional is PBE.

Cell lengths 7.6406, 7.6406, 6.0450 Å; angles 90.00, 90.00, 90.00 degrees
Sites, in units of the cell vectors:
As: 0.1130 0.3870 0.0000
As: 0.8870 0.6130 0.0000
As: 0.3870 0.8870 0.0000
As: 0.6130 0.1130 0.0000
Cs: 0.1840 0.6840 0.5000
Cs: 0.3160 0.1840 0.5000
Cs: 0.6840 0.8160 0.5000
Cs: 0.8160 0.3160 0.5000
Sn: 0.0000 0.0000 0.0000
Sn: 0.5000 0.5000 0.0000

Computed properties:
Formation energy from the elements ... -0.254 eV per atom
Space group ... P4/mbm